Here is TiHgBi2Se after structural relaxation from the Alexandria database. Energies are from GGA-PBE.

a b c (Å): 5.756 5.756 4.694
angles (deg): 90.00 90.00 90.00
Space group P4/mmm (No. 123)
Unique sites:
Ti 0.000 0.000 0.000 [1 per cell]
Hg 0.500 0.500 0.000 [1 per cell]
Bi 0.000 0.500 0.500 [2 per cell]
Se 0.000 0.000 0.500 [1 per cell]

Summary:
Relative energy among the computed polymorphs ... 2 kJ/mol of formula units
Total moment ... 0.000 μB/atom
Raw formation energy ... 0.40 eV/atom

***

Here is TiHgBi2Se after structural relaxation from the Alexandria database. Energies are from GGA-PBE.

a b c (Å): 5.402 5.402 5.365
angles (deg): 90.00 90.00 90.00
Space group P4/mmm (No. 123)
Unique sites:
Ti 0.000 0.000 0.000 [1 per cell]
Hg 0.000 0.000 0.500 [1 per cell]
Bi 0.000 0.500 0.000 [2 per cell]
Se 0.500 0.500 0.500 [1 per cell]

Summary:
Relative energy among the computed polymorphs ... 0 kJ/mol of formula units
Total moment ... 0.334 μB/atom
Raw formation energy ... 0.39 eV/atom

***

Here is TiHg2BiSe after structural relaxation from the Alexandria database. Energies are from GGA-PBE.

a b c (Å): 5.620 5.620 5.542
angles (deg): 90.00 90.00 90.00
Space group P4/mmm (No. 123)
Unique sites:
Ti 0.000 0.000 0.000 [1 per cell]
Hg 0.000 0.500 0.500 [2 per cell]
Bi 0.000 0.000 0.500 [1 per cell]
Se 0.500 0.500 0.000 [1 per cell]

Summary:
Total moment ... 0.344 μB/atom
Raw formation energy ... 0.68 eV/atom

***

Here is TlHgBi2Se4 after structural relaxation from the Alexandria database. Energies are from GGA-PBE.

a b c (Å): 4.274 13.750 16.557
angles (deg): 90.00 90.00 90.00
Space group Cmcm (No. 63)
Unique sites:
Tl 0.000 0.118 0.250 [4 per cell]
Hg 0.000 0.179 0.750 [4 per cell]
Bi 0.000 0.367 0.060 [8 per cell]
Se 0.000 0.000 0.000 [4 per cell]
Se 0.000 0.276 0.598 [8 per cell]
Se 0.000 0.447 0.250 [4 per cell]

Summary:
Total moment ... 0.000 μB/atom
Raw formation energy ... -0.26 eV/atom

***

Result set for total DFT energy (no corrections): -3.49; -3.50; -2.49; -3.30 eV/atom, one per record in the order listed.